Entry 1:
Material: MgCoSiW
Method: DFT, GGA-PBE
State: optimized geometry

Output
theoretical density	8.736	g/cm3
E above lowest polymorph	189	meV per atom

Lattice parameters (Å, degrees): 6.0770 6.0770 6.0770 90.00 90.00 90.00
Space group F-43m (No. 216)
Unique sites:
Mg1 0.0000 0.0000 0.0000 [4 per cell]
Co1 0.0000 0.0000 0.5000 [4 per cell]
Si1 0.2500 0.2500 0.2500 [4 per cell]
W1 0.2500 0.2500 0.7500 [4 per cell]

***

Entry 2:
Material: MgCoSiW
Method: DFT, GGA-PBE
State: optimized geometry

Output
theoretical density	9.017	g/cm3
E above lowest polymorph	0	meV per atom

Lattice parameters (Å, degrees): 6.0132 6.0132 6.0132 90.00 90.00 90.00
Space group F-43m (No. 216)
Unique sites:
Mg1 0.0000 0.0000 0.0000 [4 per cell]
Co1 0.2500 0.2500 0.7500 [4 per cell]
Si1 0.0000 0.0000 0.5000 [4 per cell]
W1 0.2500 0.2500 0.2500 [4 per cell]

***

Entry 3:
Material: MgZnCoSi
Method: DFT, GGA-PBE
State: optimized geometry

Output
theoretical density	5.578	g/cm3
E above lowest polymorph	39	meV per atom

Lattice parameters (Å, degrees): 5.9481 5.9481 5.9481 90.00 90.00 90.00
Space group F-43m (No. 216)
Unique sites:
Mg1 0.0000 0.0000 0.0000 [4 per cell]
Zn1 0.2500 0.2500 0.2500 [4 per cell]
Co1 0.2500 0.2500 0.7500 [4 per cell]
Si1 0.0000 0.0000 0.5000 [4 per cell]

***

Entry 4:
Material: MgZnCoSi
Method: DFT, GGA-PBE
State: optimized geometry

Output
theoretical density	5.544	g/cm3
E above lowest polymorph	0	meV per atom

Lattice parameters (Å, degrees): 5.9603 5.9603 5.9603 90.00 90.00 90.00
Space group F-43m (No. 216)
Unique sites:
Mg1 0.0000 0.0000 0.0000 [4 per cell]
Zn1 0.2500 0.2500 0.7500 [4 per cell]
Co1 0.0000 0.0000 0.5000 [4 per cell]
Si1 0.2500 0.2500 0.2500 [4 per cell]

***

Entry 5:
Material: MgZrCoSi
Method: DFT, GGA-PBE
State: optimized geometry

Output
theoretical density	5.578	g/cm3
E above lowest polymorph	0	meV per atom

Lattice parameters (Å, degrees): 6.2247 6.2247 6.2247 90.00 90.00 90.00
Space group F-43m (No. 216)
Unique sites:
Mg1 0.0000 0.0000 0.0000 [4 per cell]
Zr1 0.2500 0.2500 0.7500 [4 per cell]
Co1 0.0000 0.0000 0.5000 [4 per cell]
Si1 0.2500 0.2500 0.2500 [4 per cell]

***

Entry 6:
Material: MgZrCoSi
Method: DFT, GGA-PBE
State: optimized geometry

Output
theoretical density	5.432	g/cm3
E above lowest polymorph	83	meV per atom

Lattice parameters (Å, degrees): 6.2802 6.2802 6.2802 90.00 90.00 90.00
Space group F-43m (No. 216)
Unique sites:
Mg1 0.0000 0.0000 0.0000 [4 per cell]
Zr1 0.2500 0.2500 0.2500 [4 per cell]
Co1 0.2500 0.2500 0.7500 [4 per cell]
Si1 0.0000 0.0000 0.5000 [4 per cell]

***

Entry 7:
Material: Sm4Mg3Co2
Method: DFT, GGA-PBE
State: optimized geometry

Output
theoretical density	5.944	g/cm3
electronic total energy	-4.32	eV per atom

Lattice parameters (Å, degrees): 7.5586 3.7710 8.2512 90.00 109.77 90.00
Space group P2/m (No. 10)
Unique sites:
Sm1 0.0967 0.0000 0.2254 [2 per cell]
Sm2 0.3969 0.0000 0.6812 [2 per cell]
Mg1 0.0000 0.5000 0.5000 [1 per cell]
Mg2 0.2923 0.5000 0.0015 [2 per cell]
Co1 0.3515 0.5000 0.3944 [2 per cell]

***

Entry 8:
Material: MgCo2Sn
Method: DFT, GGA-PBE
State: optimized geometry

Output
theoretical density	7.285	g/cm3
electronic total energy	-4.69	eV per atom

Lattice parameters (Å, degrees): 6.1959 6.1959 6.1959 90.00 90.00 90.00
Space group F-43m (No. 216)
Unique sites:
Mg1 0.0000 0.0000 0.0000 [4 per cell]
Co1 0.0000 0.0000 0.5000 [4 per cell]
Co2 0.2500 0.2500 0.7500 [4 per cell]
Sn1 0.2500 0.2500 0.2500 [4 per cell]